# 1
Density functional theory data (PBE) for crystalline LiMg3Cd3 at its relaxed geometry.

Geometry as extended XYZ:
```
14
Lattice="4.750 -4.870 0.000 4.750 4.870 0.000 0.000 0.000 6.618" Properties=species:S:1:pos:R:3 pbc="T T T"
Li 4.750 2.456 0.000
Li 4.750 -2.456 0.000
Mg 4.750 2.313 3.309
Mg 2.571 0.000 3.309
Mg 2.932 0.000 0.000
Mg 6.569 0.000 0.000
Mg 6.930 0.000 3.309
Mg 4.750 -2.313 3.309
Cd 0.000 0.000 1.562
Cd 0.000 0.000 5.056
Cd 2.375 2.435 1.572
Cd 2.375 2.435 5.046
Cd 2.375 -2.435 1.572
Cd 2.375 -2.435 5.046
```

Properties
* DFT formation energy: -0.096 eV/atom
* N(E_F): 3.82 states/eV per cell
* magnetic moment: 0.0 μB per formula unit

---

# 2
Density functional theory data (PBE) for crystalline LiMg2Cd2 at its relaxed geometry.

Geometry as extended XYZ:
```
10
Lattice="5.257 -2.418 0.000 5.257 2.418 0.000 -2.646 0.000 8.160" Properties=species:S:1:pos:R:3 pbc="T T T"
Li 1.840 0.000 2.169
Li 6.027 0.000 5.991
Mg 1.079 0.000 7.777
Mg 3.009 0.000 5.313
Mg 4.858 0.000 2.847
Mg 6.788 0.000 0.383
Cd -1.769 0.000 6.975
Cd 0.107 0.000 4.605
Cd 7.760 0.000 3.555
Cd 9.636 0.000 1.184
```

Properties
* DFT formation energy: -0.132 eV/atom
* N(E_F): 2.37 states/eV per cell
* magnetic moment: 0.0 μB per formula unit

---

# 3
Density functional theory data (PBE) for crystalline Li2Mg3Cd3 at its relaxed geometry.

Geometry as extended XYZ:
```
8
Lattice="7.778 0.000 0.000 -3.889 6.736 0.000 0.000 0.000 3.094" Properties=species:S:1:pos:R:3 pbc="T T T"
Li 0.000 4.491 0.000
Li 3.889 2.245 0.000
Mg -0.962 1.667 0.000
Mg 1.925 0.000 0.000
Mg 2.927 5.069 0.000
Cd -2.363 4.092 1.547
Cd 1.526 2.644 1.547
Cd 4.725 0.000 1.547
```

Properties
* DFT formation energy: -0.142 eV/atom
* N(E_F): 0.73 states/eV per cell
* magnetic moment: 0.0 μB per formula unit

---

# 4
Density functional theory data (PBE) for crystalline LiMg5Cd at its relaxed geometry.

Geometry as extended XYZ:
```
14
Lattice="6.578 -4.172 0.000 6.578 4.172 0.000 -1.004 0.000 5.667" Properties=species:S:1:pos:R:3 pbc="T T T"
Li 5.824 2.129 4.250
Li 6.327 -2.129 1.417
Mg 1.962 0.788 2.913
Mg 6.327 3.228 1.417
Mg 2.464 -0.788 0.079
Mg 4.851 0.442 1.942
Mg 4.349 -0.442 4.776
Mg 7.802 0.442 0.891
Mg 7.300 -0.442 3.725
Mg 9.687 0.788 5.587
Mg 5.824 -3.228 4.250
Mg 10.189 -0.788 2.754
Cd 3.289 2.086 0.000
Cd 2.787 -2.086 2.833
```

Properties
* DFT formation energy: -0.019 eV/atom
* N(E_F): 5.59 states/eV per cell
* magnetic moment: 0.0 μB per formula unit

---

# 5
Density functional theory data (PBE) for crystalline Li6MgCd8 at its relaxed geometry.

Geometry as extended XYZ:
```
15
Lattice="3.981 2.298 5.720 -3.981 2.298 5.720 0.000 -4.597 5.720" Properties=species:S:1:pos:R:3 pbc="T T T"
Li -1.102 -1.827 6.440
Li -2.133 0.041 10.720
Li -1.031 1.867 6.440
Li 1.031 -1.867 10.720
Li 2.133 -0.041 6.440
Li 1.102 1.827 10.720
Mg 0.000 0.000 0.000
Cd -2.735 0.304 7.830
Cd -1.631 -2.216 9.330
Cd 0.000 0.000 4.356
Cd 1.104 -2.520 7.830
Cd -1.104 2.520 9.330
Cd 0.000 0.000 12.804
Cd 1.631 2.216 7.830
Cd 2.735 -0.304 9.330
```

Properties
* DFT formation energy: -0.121 eV/atom
* N(E_F): 6.91 states/eV per cell
* magnetic moment: 0.0 μB per formula unit

---

# 6
Density functional theory data (PBE) for crystalline Li4Mg5Cd2 at its relaxed geometry.

Geometry as extended XYZ:
```
11
Lattice="10.364 -1.506 0.000 10.364 1.506 0.000 -0.560 0.000 7.552" Properties=species:S:1:pos:R:3 pbc="T T T"
Li 0.685 0.000 2.746
Li 6.488 0.000 3.948
Li 13.679 0.000 3.604
Li 19.482 0.000 4.806
Mg 2.752 0.000 0.846
Mg 4.363 0.000 6.143
Mg 10.364 0.000 0.000
Mg 15.804 0.000 1.409
Mg 17.415 0.000 6.706
Cd 1.466 0.000 5.487
Cd 18.701 0.000 2.065
```

Properties
* DFT formation energy: -0.052 eV/atom
* N(E_F): 3.53 states/eV per cell
* magnetic moment: 0.0 μB per formula unit

---

# 7
Density functional theory data (PBE) for crystalline LiMg3Cd2 at its relaxed geometry.

Geometry as extended XYZ:
```
6
Lattice="2.244 -6.614 0.000 2.244 6.614 0.000 0.000 0.000 4.252" Properties=species:S:1:pos:R:3 pbc="T T T"
Li 0.000 0.000 0.000
Mg 2.244 4.418 2.126
Mg 2.244 0.000 2.126
Mg 2.244 -4.418 2.126
Cd 2.244 2.166 0.000
Cd 2.244 -2.166 0.000
```

Properties
* DFT formation energy: -0.114 eV/atom
* N(E_F): 2.31 states/eV per cell
* magnetic moment: 0.0 μB per formula unit

---

# 8
Density functional theory data (PBE) for crystalline Li6Mg8Cd at its relaxed geometry.

Geometry as extended XYZ:
```
15
Lattice="4.092 2.362 5.859 -4.092 2.362 5.859 0.000 -4.725 5.859" Properties=species:S:1:pos:R:3 pbc="T T T"
Li -2.670 -0.011 7.963
Li -1.326 -2.317 9.614
Li 1.344 -2.307 7.963
Li -1.344 2.307 9.614
Li 1.326 2.317 7.963
Li 2.670 0.011 9.614
Mg -1.388 -2.383 6.738
Mg 0.000 0.000 2.882
Mg -2.758 0.010 10.839
Mg -1.370 2.393 6.738
Mg 1.370 -2.393 10.839
Mg 2.758 -0.010 6.738
Mg 0.000 0.000 14.695
Mg 1.388 2.383 10.839
Cd 0.000 0.000 8.788
```

Properties
* DFT formation energy: 0.064 eV/atom
* N(E_F): 7.45 states/eV per cell
* magnetic moment: 0.0 μB per formula unit

---

# 9
Density functional theory data (PBE) for crystalline Li7Mg4Cd at its relaxed geometry.

Geometry as extended XYZ:
```
12
Lattice="4.821 0.000 0.000 -2.411 4.175 0.000 0.000 0.000 11.727" Properties=species:S:1:pos:R:3 pbc="T T T"
Li 0.000 0.000 0.000
Li 0.000 0.000 2.931
Li 0.000 0.000 8.797
Li 0.000 2.784 2.048
Li 0.000 2.784 4.926
Li 2.411 1.392 6.801
Li 2.411 1.392 9.680
Mg 0.000 2.784 7.730
Mg 0.000 2.784 10.804
Mg 2.411 1.392 0.923
Mg 2.411 1.392 3.998
Cd 0.000 0.000 5.864
```

Properties
* DFT formation energy: -0.088 eV/atom
* N(E_F): 6.28 states/eV per cell
* magnetic moment: 0.0 μB per formula unit

---

# 10
Density functional theory data (PBE) for crystalline Li4MgCd7 at its relaxed geometry.

Geometry as extended XYZ:
```
12
Lattice="6.871 -2.597 0.000 6.871 2.597 0.000 -3.541 0.000 7.145" Properties=species:S:1:pos:R:3 pbc="T T T"
Li 0.077 0.000 1.435
Li -0.628 0.000 6.116
Li 10.830 0.000 1.029
Li 10.125 0.000 5.710
Mg 5.101 0.000 3.572
Cd -1.770 0.000 3.572
Cd 2.806 0.000 1.699
Cd 1.963 0.000 4.515
Cd 5.471 0.000 0.393
Cd 4.730 0.000 6.752
Cd 8.239 0.000 2.630
Cd 7.396 0.000 5.446
```

Properties
* DFT formation energy: -0.084 eV/atom
* N(E_F): 3.68 states/eV per cell
* magnetic moment: 0.0 μB per formula unit